[1]
An optimized crystal structure of Tb2PrS3. Source: Alexandria, functional PBE.

## Properties
N(E_F) ... 2.53 states/eV/f.u.
E_form (uncorrected) ... -46.237 kcal/mol of atoms
Space-group type ... Immm, No. 71

Cell and atoms, written as POSCAR:
```
Tb2PrS3
1.0
-2.871 2.676 -0.657
-2.747 -3.737 -3.220
-0.144 -1.454 6.760
Pr S Tb
1 3 2
Direct
0.000 0.500 0.000
0.676 0.676 0.353
0.000 0.000 0.000
0.324 0.324 0.647
0.338 0.838 0.677
0.662 0.162 0.323
```

[2]
An optimized crystal structure of CsNaCe4S8. Source: Alexandria, functional PBE.

## Properties
N(E_F) ... 18.66 states/eV/f.u.
E_form (uncorrected) ... -37.661 kcal/mol of atoms
Space-group type ... R3m, No. 160

Cell and atoms, written as POSCAR:
```
CsNaCe4S8
1.0
-6.830 4.521 2.246
-6.581 0.681 -5.325
-7.354 -4.029 1.802
S Ce Cs Na
8 4 1 1
Direct
0.749 0.749 0.276
0.228 0.228 0.316
0.238 0.822 0.702
0.226 0.749 0.276
0.757 0.757 0.729
0.238 0.238 0.702
0.749 0.226 0.276
0.822 0.238 0.702
0.619 0.619 0.143
0.003 0.003 0.503
0.492 0.003 0.503
0.003 0.492 0.503
0.375 0.375 0.874
0.002 0.002 0.995
```

[3]
An optimized crystal structure of TiInS2N. Source: Alexandria, functional PBE.

## Properties
N(E_F) ... 7.95 states/eV/f.u.
E_form (uncorrected) ... 19.463 kcal/mol of atoms
Space-group type ... P4/mmm, No. 123

Cell and atoms, written as POSCAR:
```
TiInS2N
1.0
4.974 0.000 0.000
0.000 4.974 0.000
0.000 0.000 4.047
In S Ti N
1 2 1 1
Direct
0.000 0.000 0.000
0.000 0.500 0.000
0.500 0.000 0.000
0.500 0.500 0.500
0.000 0.000 0.500
```

[4]
An optimized crystal structure of Ca2ZrCl. Source: Alexandria, functional PBE.

## Properties
N(E_F) ... 3.40 states/eV/f.u.
E_form (uncorrected) ... -13.110 kcal/mol of atoms
Space-group type ... P4/mmm, No. 123
Energy above the most stable polymorph in this dataset ... 59 meV per atom

Cell and atoms, written as POSCAR:
```
Ca2ZrCl
1.0
3.418 0.000 0.000
0.000 3.418 0.000
0.000 0.000 9.233
Ca Zr Cl
2 1 1
Direct
0.000 0.000 0.019
0.000 0.000 0.481
0.500 0.500 0.750
0.500 0.500 0.250
```

no.,energy (eV per atom)
1,-6.409
2,-5.842
3,-4.599
4,-4.168